DFT (PBE) results for a relaxed FeBi10S10 crystal.

As for the total magnetic moment: 0.01 μB per cell. The raw total energy comes out at -4.37 eV/atom.

It has space group Pbam (No. 55), with a = 10.772 Å, b = 12.640 Å, c = 8.538 Å, α = 90.00°, β = 90.00° and γ = 90.00°. The asymmetric unit holds Fe at (0.000, 0.000, 0.000), Bi at (0.000, 0.500, 0.233), Bi at (0.134, 0.089, 0.217), Bi at (0.144, 0.835, 0.000), Bi at (0.245, 0.320, 0.500), S at (0.009, 0.852, 0.500), S at (0.144, 0.588, 0.000), S at (0.152, 0.314, 0.195) and S at (0.173, 0.519, 0.500).


DFT (PBE) results for a relaxed Fe2Bi8S crystal.

As for the total magnetic moment: 17.53 μB per cell. The raw total energy comes out at -4.55 eV/atom.

It has space group P4_2/mnm (No. 136), with a = 11.100 Å, b = 11.100 Å, c = 9.802 Å, α = 90.00°, β = 90.00° and γ = 90.00°. The asymmetric unit holds Fe at (0.205, 0.205, 0.236), Bi at (0.000, 0.000, 0.324), Bi at (0.050, 0.700, 0.186), Bi at (0.105, 0.105, 0.000), Bi at (0.182, 0.182, 0.500), Bi at (0.193, 0.807, 0.500) and S at (0.000, 0.500, 0.000).


DFT (PBE) results for a relaxed FeBiSb2 crystal.

As for the total magnetic moment: 10.15 μB per cell. The raw total energy comes out at -4.54 eV/atom.

It has space group F-43m (No. 216), with a = 7.162 Å, b = 7.162 Å, c = 7.162 Å, α = 90.00°, β = 90.00° and γ = 90.00°. The asymmetric unit holds Fe at (0.000, 0.000, 0.000), Bi at (0.250, 0.250, 0.750), Sb at (0.000, 0.000, 0.500) and Sb at (0.250, 0.250, 0.250).


DFT (PBE) results for a relaxed FeBiSb crystal.

As for the total magnetic moment: 7.50 μB per cell. The energy relative to the lowest polymorph listed for this composition comes out at 0.000 eV per formula unit.

It has space group F-43m (No. 216), with a = 6.557 Å, b = 6.557 Å, c = 6.557 Å, α = 90.00°, β = 90.00° and γ = 90.00°. The asymmetric unit holds Fe at (0.000, 0.000, 0.000), Bi at (0.250, 0.250, 0.750) and Sb at (0.250, 0.250, 0.250).


Among the records above, which one has the lowest total magnetic moment?
FeBi10S10


Look up the total magnetic moment of the fourth one.
7.50 μB per cell


Number 4 is which compound?
FeBiSb